Computed, not measured: an optimized crystal structure of MnCo6Mo at the PBE level of DFT.

Results
- E_tot: -249.5 eV for the cell shown
- Magnetic moment: 1.39 μB/cell

Unit cell a=6.1688 b=6.1688 c=10.0576 alpha=90.00 beta=90.00 gamma=109.47
Closest atoms and distances in Å follow each position.
Sites, in units of the cell vectors:
Mn 0.0000 0.0000 0.2476  12 Co 2.49-2.54
Mn 0.0000 0.0000 0.7524  12 Co 2.49-2.54
Mn 0.2542 0.7458 0.0000  12 Co 2.48-2.56
Mn 0.7458 0.2542 0.0000  12 Co 2.48-2.56
Co 0.0000 0.0000 0.0000  4 Mn 2.49-2.56, 8 Co 2.50
Co 0.0000 0.0000 0.5000  8 Co 2.51, 2 Mn 2.54, 2 Mo 2.55
Co 0.1212 0.3730 0.1234  8 Co 2.48-2.54, 3 Mn 2.50-2.51, 1 Mo 2.54
Co 0.1212 0.3730 0.8766  8 Co 2.48-2.54, 3 Mn 2.50-2.51, 1 Mo 2.54
Co 0.1233 0.3719 0.3739  8 Co 2.50-2.55, 1 Mn 2.51, 3 Mo 2.52-2.53
Co 0.1233 0.3719 0.6261  8 Co 2.50-2.55, 1 Mn 2.51, 3 Mo 2.52-2.53
Co 0.2482 0.7518 0.2471  8 Co 2.48-2.55, 2 Mn 2.49-2.50, 2 Mo 2.54
Co 0.2482 0.7518 0.7529  8 Co 2.48-2.55, 2 Mn 2.49-2.50, 2 Mo 2.54
Co 0.3719 0.1233 0.3739  8 Co 2.50-2.55, 1 Mn 2.51, 3 Mo 2.52-2.53
Co 0.3719 0.1233 0.6261  8 Co 2.50-2.55, 1 Mn 2.51, 3 Mo 2.52-2.53
Co 0.3730 0.1212 0.1234  8 Co 2.48-2.54, 3 Mn 2.50-2.51, 1 Mo 2.54
Co 0.3730 0.1212 0.8766  8 Co 2.48-2.54, 3 Mn 2.50-2.51, 1 Mo 2.54
Co 0.5000 0.5000 0.0000  2 Mn 2.48, 2 Mo 2.50, 8 Co 2.53
Co 0.5000 0.5000 0.5000  4 Mo 2.48-2.53, 8 Co 2.53
Co 0.6270 0.8788 0.1234  8 Co 2.48-2.54, 3 Mn 2.50-2.51, 1 Mo 2.54
Co 0.6270 0.8788 0.8766  8 Co 2.48-2.54, 3 Mn 2.50-2.51, 1 Mo 2.54
Co 0.6281 0.8767 0.3739  8 Co 2.50-2.55, 1 Mn 2.51, 3 Mo 2.52-2.53
Co 0.6281 0.8767 0.6261  8 Co 2.50-2.55, 1 Mn 2.51, 3 Mo 2.52-2.53
Co 0.7518 0.2482 0.2471  8 Co 2.48-2.55, 2 Mn 2.49-2.50, 2 Mo 2.54
Co 0.7518 0.2482 0.7529  8 Co 2.48-2.55, 2 Mn 2.49-2.50, 2 Mo 2.54
Co 0.8767 0.6281 0.3739  8 Co 2.50-2.55, 1 Mn 2.51, 3 Mo 2.52-2.53
Co 0.8767 0.6281 0.6261  8 Co 2.50-2.55, 1 Mn 2.51, 3 Mo 2.52-2.53
Co 0.8788 0.6270 0.1234  8 Co 2.48-2.54, 3 Mn 2.50-2.51, 1 Mo 2.54
Co 0.8788 0.6270 0.8766  8 Co 2.48-2.54, 3 Mn 2.50-2.51, 1 Mo 2.54
Mo 0.2533 0.7467 0.5000  12 Co 2.48-2.55
Mo 0.5000 0.5000 0.2485  12 Co 2.50-2.54
Mo 0.5000 0.5000 0.7515  12 Co 2.50-2.54
Mo 0.7467 0.2533 0.5000  12 Co 2.48-2.55

***

Computed, not measured: an optimized crystal structure of Mn2CrSe at the PBE level of DFT.

Results
- E_tot: -30.7 eV for the cell shown
- Magnetic moment: 2.92 μB/cell
- ΔE_f (raw): 0.1915 eV per atom

Unit cell a=4.2423 b=4.2423 c=3.2616 alpha=90.00 beta=90.00 gamma=103.21
Closest atoms and distances in Å follow each position.
Sites, in units of the cell vectors:
Mn 0.0000 0.5000 0.0000  2 Mn 2.63, 4 Cr 2.68, 4 Se 2.68
Mn 0.5000 0.0000 0.0000  2 Mn 2.63, 4 Cr 2.68, 4 Se 2.68
Cr 0.0000 0.0000 0.5000  2 Se 2.63, 8 Mn 2.68
Se 0.5000 0.5000 0.5000  2 Cr 2.63, 8 Mn 2.68

***

Computed, not measured: an optimized crystal structure of KSc2Se at the PBE level of DFT.

Results
- E_tot: -18.7 eV for the cell shown
- Magnetic moment: 1.48 μB/cell
- ΔE_f (raw): -0.3739 eV per atom

Unit cell a=10.2163 b=10.2163 c=10.2163 alpha=160.33 beta=159.96 gamma=28.23
Closest atoms and distances in Å follow each position.
Sites, in units of the cell vectors:
K 0.0000 0.0000 0.0000  2 Se 3.34, 4 K 3.49-3.56
Sc 0.1991 0.6991 0.5000  4 Se 2.73
Sc 0.3341 0.3341 0.0000  6 Sc 3.19-3.56
Se 0.6430 0.1430 0.5000  4 Sc 2.73

***

Computed, not measured: an optimized crystal structure of CaAcBi2 at the PBE level of DFT.

Results
- E_tot: -16.8 eV for the cell shown
- Magnetic moment: 0.00 μB/cell

Unit cell a=5.7988 b=5.7988 c=5.7988 alpha=60.00 beta=60.00 gamma=60.00
Closest atoms and distances in Å follow each position.
Sites, in units of the cell vectors:
Ca 0.0000 0.0000 0.0000  8 Bi 3.55
Ac 0.5000 0.5000 0.5000  8 Bi 3.55
Bi 0.2500 0.2500 0.2500  4 Ac 3.55, 4 Ca 3.55
Bi 0.7500 0.7500 0.7500  4 Ac 3.55, 4 Ca 3.55

***

Computed, not measured: an optimized crystal structure of B2Pt2Rh at the PBE level of DFT.

Results
- E_tot: -33.0 eV for the cell shown
- Magnetic moment: 0.00 μB/cell

Unit cell a=7.1587 b=7.1587 c=7.1587 alpha=155.79 beta=155.79 gamma=34.51
Closest atoms and distances in Å follow each position.
Sites, in units of the cell vectors:
B 0.2500 0.7500 0.5000  4 B 2.12, 4 Pt 2.13
B 0.7500 0.2500 0.5000  4 B 2.12, 4 Pt 2.13
Pt 0.1393 0.1393 0.0000  4 B 2.13
Pt 0.8607 0.8607 0.0000  4 B 2.13
Rh 0.5000 0.5000 0.0000  8 Pt 2.85, 4 Rh 3.00

***

Computed, not measured: an optimized crystal structure of Ca2HgBiN at the PBE level of DFT.

Results
- E_tot: -19.1 eV for the cell shown
- Magnetic moment: 0.00 μB/cell
- ΔE_f (raw): -0.5154 eV per atom

Unit cell a=4.9107 b=4.9107 c=4.7829 alpha=90.00 beta=90.00 gamma=90.00
Closest atoms and distances in Å follow each position.
Sites, in units of the cell vectors:
Ca 0.0000 0.5000 0.0000  2 N 2.46
Ca 0.5000 0.0000 0.0000  2 N 2.46
Hg 0.0000 0.0000 0.5000  2 N 2.39
Bi 0.5000 0.5000 0.5000  8 Ca 3.43, 4 Hg 3.47
N 0.0000 0.0000 0.0000  2 Hg 2.39, 4 Ca 2.46

***

> What is the formula in the fifth record?

B2Pt2Rh